Material: K8Li3Fe4O16
Method: DFT, GGA+U
State: optimized geometry

Results
For the raw total energy, the calculation gives -5.0223 eV/atom. The calculation puts the calculated volume at 522 Å³/cell.

Cell and atoms, written as CIF:
```
data_K8Li3Fe4O16
_chemical_formula_sum 'K8 Li3 Fe4 O16'
_cell_length_a 5.6815
_cell_length_b 8.2969
_cell_length_c 11.1391
_cell_angle_alpha 84.32
_cell_angle_beta 86.70
_cell_angle_gamma 89.97
_space_group_name_H-M_alt 'P 1'
_space_group_IT_number 1
_space_group_name_Hall 'P 1'
loop_
_atom_site_label
_atom_site_type_symbol
_atom_site_fract_x
_atom_site_fract_y
_atom_site_fract_z
_atom_site_occupancy
K1 K 0.0000 0.0000 0.0000 1
K2 K 0.9995 0.2194 0.6311 1
K3 K 0.4663 0.7177 0.9179 1
K4 K 0.4814 0.9585 0.5992 1
K5 K 0.5097 0.2620 0.1070 1
K6 K 0.5150 0.4360 0.4276 1
K7 K 0.9864 0.5428 0.1160 1
K8 K 0.9962 0.7674 0.4197 1
Li1 Li 0.0318 0.4291 0.8472 1
Li2 Li 0.4186 0.5000 0.7085 1
Li3 Li 0.5820 0.0080 0.3185 1
Fe1 Fe 0.0464 0.2182 0.3265 1
Fe2 Fe 0.4550 0.7661 0.2139 1
Fe3 Fe 0.5209 0.2296 0.8205 1
Fe4 Fe 0.9261 0.6981 0.7209 1
O1 O 0.0078 0.2272 0.1774 1
O2 O 0.0110 0.4050 0.3724 1
O3 O 0.0916 0.5357 0.6738 1
O4 O 0.1669 0.7951 0.1839 1
O5 O 0.3282 0.1603 0.3571 1
O6 O 0.3612 0.3851 0.8848 1
O7 O 0.3999 0.0397 0.8408 1
O8 O 0.4981 0.7772 0.3674 1
O9 O 0.5058 0.2768 0.6629 1
O10 O 0.5153 0.5805 0.1592 1
O11 O 0.6171 0.9336 0.1548 1
O12 O 0.6327 0.6788 0.6876 1
O13 O 0.7972 0.2557 0.8769 1
O14 O 0.8359 0.0959 0.4023 1
O15 O 0.9665 0.6629 0.8765 1
O16 O 0.9923 0.8841 0.6448 1
```